Compound: SbPSN2
Source: the Alexandria database
Functional: GGA-PBE
Structure: relaxed

Summary:
Raw formation energy (eV/f.u.): 4.4
Density (Mg/m³): 5.66
Excess energy over the best structure of this formula in the dataset (meV per atom): 0
Symmetry: P4/mmm
Magnetic moment (Bohr magnetons per cell): 0.006
D(E_F) (states/eV/f.u.): 3.1

Unit cell a=3.694 b=3.694 c=4.579 alpha=90.00 beta=90.00 gamma=90.00
Element x y z (fractional)
Sb 0.000 0.000 0.000
P 0.500 0.500 0.500
S 0.500 0.500 0.000
N 0.000 0.500 0.500
N 0.500 0.000 0.500

***

Compound: SbPS2N
Source: the Alexandria database
Functional: GGA-PBE
Structure: relaxed

Summary:
Raw formation energy (eV/f.u.): 9.0
Density (Mg/m³): 2.81
Excess energy over the best structure of this formula in the dataset (meV per atom): 1351
Symmetry: P4/mmm
Magnetic moment (Bohr magnetons per cell): 4.553
D(E_F) (states/eV/f.u.): 3.8

Unit cell a=5.095 b=5.095 c=5.260 alpha=90.00 beta=90.00 gamma=90.00
Element x y z (fractional)
Sb 0.000 0.000 0.000
P 0.000 0.000 0.500
S 0.000 0.500 0.000
S 0.500 0.000 0.000
N 0.500 0.500 0.500

***

Compound: SbPS2N
Source: the Alexandria database
Functional: GGA-PBE
Structure: relaxed

Summary:
Raw formation energy (eV/f.u.): 4.5
Density (Mg/m³): 4.90
Excess energy over the best structure of this formula in the dataset (meV per atom): 455
Symmetry: P4/mmm
Magnetic moment (Bohr magnetons per cell): 0.000
D(E_F) (states/eV/f.u.): 3.5

Unit cell a=4.365 b=4.365 c=4.106 alpha=90.00 beta=90.00 gamma=90.00
Element x y z (fractional)
Sb 0.000 0.000 0.000
P 0.500 0.500 0.000
S 0.000 0.500 0.500
S 0.500 0.000 0.500
N 0.500 0.500 0.500

***

Number 1: total DFT energy (no corrections) -25.866 eV for the cell shown. Number 2: total DFT energy (no corrections) -17.082 eV for the cell shown. Number 3: total DFT energy (no corrections) -21.564 eV for the cell shown.